[1]
# AcPt4Pb

Crystalline AcPt4Pb at its relaxed geometry (PBE, Alexandria via LeMat-Bulk).

Total moment = 0.00 μB/f.u.
Energy of formation = -0.70 eV per atom
DOS at the Fermi energy = 2.9 states/eV per cell

a b c (Å): 5.579 5.579 5.579
angles (deg): 60.00 60.00 60.00
Sites, in units of the cell vectors:
Pb  0.250  0.250  0.250
Ac  0.000  0.000  0.000
Pt  0.625  0.625  0.126
Pt  0.625  0.126  0.625
Pt  0.625  0.625  0.625
Pt  0.126  0.625  0.625



[2]
# Sb2PbW

Crystalline Sb2PbW at its relaxed geometry (PBE, Alexandria via LeMat-Bulk).

Total moment = 1.08 μB/f.u.
Energy = -0.3863 Ry/atom
DOS at the Fermi energy = 3.5 states/eV per cell

a b c (Å): 5.097 5.097 5.097
angles (deg): 60.00 60.00 60.00
Last column: magnetic moment on the atom in μB.
Sites, in units of the cell vectors:
Pb  0.500  0.500  0.500  0.02
Sb  0.000  0.000  0.000  -0.01
Sb  0.250  0.250  0.250  -0.03
W  0.750  0.750  0.750  0.79



[3]
# Ca3Ac2CeSe6

Crystalline Ca3Ac2CeSe6 at its relaxed geometry (PBE, Alexandria via LeMat-Bulk).

Total moment = 1.52 μB/f.u.
Energy = -0.3901 Ry/atom
DOS at the Fermi energy = 10.1 states/eV per cell

a b c (Å): 4.276 8.678 9.678
angles (deg): 103.97 102.76 90.00
Last column: magnetic moment on the atom in μB.
Sites, in units of the cell vectors:
Ca  0.500  0.500  0.000  0.00
Ca  0.833  0.166  0.666  0.00
Ca  0.167  0.834  0.334  0.00
Ac  0.835  0.670  0.671  0.02
Ac  0.165  0.330  0.329  0.02
Ce  0.500  0.000  0.000  1.11
Se  0.332  0.931  0.664  0.00
Se  0.663  0.595  0.326  0.00
Se  0.668  0.069  0.336  0.00
Se  0.995  0.251  0.989  -0.01
Se  0.005  0.749  0.011  -0.01
Se  0.337  0.405  0.674  0.00



[4]
# CsY3Mo

Crystalline CsY3Mo at its relaxed geometry (PBE, Alexandria via LeMat-Bulk).

Total moment = 3.77 μB/f.u.
Offset from the most stable computed form = 1.2805 eV/atom
Energy of formation = 1.87 eV per atom
DOS at the Fermi energy = 3.0 states/eV per cell

a b c (Å): 5.543 5.543 5.543
angles (deg): 90.00 90.00 90.00
Last column: magnetic moment on the atom in μB.
Sites, in units of the cell vectors:
Cs  0.000  0.000  0.000  -0.01
Y  0.000  0.500  0.000  -0.02
Y  0.000  0.000  0.500  -0.02
Y  0.500  0.000  0.000  -0.06
Mo  0.500  0.500  0.500  3.25



[5]
# Rb2NaIr

Crystalline Rb2NaIr at its relaxed geometry (PBE, Alexandria via LeMat-Bulk).

Total moment = 0.00 μB/f.u.
Offset from the most stable computed form = 0.0000 eV/atom
Energy of formation = 0.82 eV per atom
DOS at the Fermi energy = 1.2 states/eV per cell

a b c (Å): 5.707 5.707 5.707
angles (deg): 60.00 60.00 60.00
Sites, in units of the cell vectors:
Na  0.000  0.000  0.000
Ir  0.500  0.500  0.500
Rb  0.250  0.250  0.250
Rb  0.750  0.750  0.750



[6]
# BiPtBrO2

Crystalline BiPtBrO2 at its relaxed geometry (PBE, Alexandria via LeMat-Bulk).

Total moment = 0.00 μB/f.u.
Energy = -0.3120 Ry/atom
DOS at the Fermi energy = 1.9 states/eV per cell

a b c (Å): 4.096 5.837 4.096
angles (deg): 90.00 90.00 90.00
Sites, in units of the cell vectors:
O  0.000  0.000  0.500
O  0.500  0.000  0.000
Br  0.500  0.500  0.500
Bi  0.000  0.000  0.000
Pt  0.000  0.500  0.000



[7]
# MnZnIrW

Crystalline MnZnIrW at its relaxed geometry (PBE, Alexandria via LeMat-Bulk).

Total moment = 0.00 μB/f.u.
Energy of formation = -0.04 eV per atom
DOS at the Fermi energy = 0.7 states/eV per cell

a b c (Å): 4.282 4.282 4.282
angles (deg): 60.00 60.00 60.00
Sites, in units of the cell vectors:
Mn  0.750  0.750  0.750
Zn  0.000  0.000  0.000
Ir  0.250  0.250  0.250
W  0.500  0.500  0.500



[8]
# Sr5AcMg4

Crystalline Sr5AcMg4 at its relaxed geometry (PBE, Alexandria via LeMat-Bulk).

Total moment = 0.00 μB/f.u.
Energy of formation = -0.01 eV per atom
DOS at the Fermi energy = 13.2 states/eV per cell

a b c (Å): 4.135 4.135 22.727
angles (deg): 90.00 90.00 90.00
Sites, in units of the cell vectors:
Sr  0.500  0.500  0.128
Sr  0.500  0.500  0.314
Sr  0.500  0.500  0.500
Sr  0.500  0.500  0.686
Sr  0.500  0.500  0.872
Ac  0.000  0.000  0.000
Mg  0.000  0.000  0.221
Mg  0.000  0.000  0.408
Mg  0.000  0.000  0.592
Mg  0.000  0.000  0.779



[9]
# Li3Sn3Pb2

Crystalline Li3Sn3Pb2 at its relaxed geometry (PBE, Alexandria via LeMat-Bulk).

Total moment = 0.00 μB/f.u.
Energy of formation = -0.19 eV per atom
DOS at the Fermi energy = 1.8 states/eV per cell

a b c (Å): 4.529 4.584 10.004
angles (deg): 103.25 103.08 90.00
Sites, in units of the cell vectors:
Li  0.111  0.111  0.221
Li  0.000  0.500  0.000
Li  0.889  0.889  0.779
Sn  0.612  0.612  0.223
Sn  0.388  0.388  0.777
Sn  0.500  0.000  0.000
Pb  0.763  0.263  0.525
Pb  0.237  0.737  0.475



[10]
# Th4SiCN2

Crystalline Th4SiCN2 at its relaxed geometry (PBE, Alexandria via LeMat-Bulk).

Total moment = 0.00 μB/f.u.
Energy = -0.6150 Ry/atom
DOS at the Fermi energy = 3.7 states/eV per cell

a b c (Å): 6.643 6.119 6.119
angles (deg): 65.76 57.13 57.13
Sites, in units of the cell vectors:
Th  0.460  0.103  0.540
Th  0.103  0.897  0.460
Th  0.897  0.540  0.103
Th  0.540  0.460  0.897
Si  0.000  0.000  0.000
C  0.500  0.500  0.500
N  0.250  0.250  0.250
N  0.750  0.750  0.750



[11]
# ScOs2Au

Crystalline ScOs2Au at its relaxed geometry (PBE, Alexandria via LeMat-Bulk).

Total moment = 0.00 μB/f.u.
Offset from the most stable computed form = 0.4191 eV/atom
Energy of formation = 0.32 eV per atom
DOS at the Fermi energy = 4.0 states/eV per cell

a b c (Å): 2.768 2.768 9.302
angles (deg): 90.00 90.00 113.44
Sites, in units of the cell vectors:
Au  0.500  0.500  0.750
Os  0.000  0.000  0.012
Os  0.000  0.000  0.488
Sc  0.500  0.500  0.250



[12]
# BHRu

Crystalline BHRu at its relaxed geometry (PBE, Alexandria via LeMat-Bulk).

Total moment = 0.00 μB/f.u.
Offset from the most stable computed form = 0.2521 eV/atom
DOS at the Fermi energy = 1.9 states/eV per cell

a b c (Å): 2.918 2.918 30.037
angles (deg): 90.00 90.00 90.00
Sites, in units of the cell vectors:
Ru  0.402  0.097  0.663
Ru  0.903  0.402  0.913
Ru  0.097  0.402  0.087
Ru  0.402  0.903  0.837
Ru  0.097  0.598  0.413
Ru  0.903  0.598  0.587
Ru  0.598  0.903  0.163
Ru  0.598  0.097  0.337
B  0.403  0.098  0.574
B  0.902  0.403  0.824
B  0.597  0.098  0.426
B  0.098  0.403  0.176
B  0.597  0.902  0.074
B  0.403  0.902  0.926
B  0.098  0.597  0.324
B  0.902  0.597  0.676
H  0.095  0.401  0.034
H  0.401  0.095  0.716
H  0.599  0.095  0.284
H  0.905  0.401  0.966
H  0.095  0.599  0.466
H  0.401  0.905  0.784
H  0.599  0.905  0.216
H  0.905  0.599  0.534



Which value of total moment does entry 6 give?
0.00 μB/f.u.



Repeat the seventh record exactly.
# MnZnIrW

Crystalline MnZnIrW at its relaxed geometry (PBE, Alexandria via LeMat-Bulk).

Total moment = 0.00 μB/f.u.
Energy of formation = -0.04 eV per atom
DOS at the Fermi energy = 0.7 states/eV per cell

a b c (Å): 4.282 4.282 4.282
angles (deg): 60.00 60.00 60.00
Sites, in units of the cell vectors:
Mn  0.750  0.750  0.750
Zn  0.000  0.000  0.000
Ir  0.250  0.250  0.250
W  0.500  0.500  0.500



The highest total moment belongs to which entry?
CsY3Mo